The following is a PBE calculation of a relaxed structure of NpGaGe, from Alexandria.

Results
The value obtained for the offset from the most stable computed form is 85.4 meV per atom. As for the uncorrected energy: -6.90 eV/atom. As for the density of states at the Fermi level: 10.106 states/eV/f.u. For the formation energy, the calculation gives -36 meV/atom.

a = 4.2534 Å, b = 4.2534 Å, c = 7.6541 Å
α = 106.13°, β = 106.13°, γ = 90.00°
Fractional coordinates of all 6 atoms:
Ge 0.5000 0.0000 0.0000
Ge 0.0000 0.5000 0.0000
Np 0.1492 0.1492 0.2984
Np 0.8508 0.8508 0.7016
Ga 0.6390 0.6390 0.2779
Ga 0.3610 0.3610 0.7221

=====

The following is a PBE calculation of a relaxed structure of NaBSb2Te, from Alexandria.

Results
The value obtained for the offset from the most stable computed form is 0.0 meV per atom. As for the uncorrected energy: -3.38 eV/atom. As for the density of states at the Fermi level: 3.993 states/eV/f.u. The uncorrected formation energy is 492 meV per atom.

a = 4.9270 Å, b = 4.9270 Å, c = 5.1543 Å
α = 90.00°, β = 90.00°, γ = 90.00°
Fractional coordinates of all 5 atoms:
B 0.0000 0.0000 0.0000
Na 0.5000 0.5000 0.5000
Te 0.0000 0.0000 0.5000
Sb 0.5000 0.0000 0.0000
Sb 0.0000 0.5000 0.0000

=====

The following is a PBE calculation of a relaxed structure of Pm5Sb2N, from Alexandria.

Results
As for the uncorrected energy: -5.79 eV/atom. As for the density of states at the Fermi level: 6.514 states/eV/f.u. The uncorrected formation energy is -749 meV per atom.

a = 5.7487 Å, b = 5.7837 Å, c = 15.3448 Å
α = 90.00°, β = 90.00°, γ = 119.80°
Fractional coordinates of all 16 atoms:
Sb 0.2497 0.4994 0.5556
Sb 0.7503 0.5006 0.0556
Sb 0.2497 0.4994 0.9444
Sb 0.7503 0.5006 0.4444
Pm 0.5906 0.1813 0.6322
Pm 0.9092 0.8185 0.6323
Pm 0.5906 0.1813 0.8678
Pm 0.9092 0.8185 0.8677
Pm 0.7500 0.5001 0.2500
Pm 0.2500 0.4999 0.7500
Pm 0.4094 0.8187 0.3678
Pm 0.0908 0.1815 0.1323
Pm 0.0908 0.1815 0.3677
Pm 0.4094 0.8187 0.1322
N 0.7499 0.4997 0.7500
N 0.2501 0.5003 0.2500

=====

The following is a PBE calculation of a relaxed structure of Tc2As2Au, from Alexandria.

Results
The value obtained for the offset from the most stable computed form is 0.0 meV per atom. As for the uncorrected energy: -6.50 eV/atom. As for the density of states at the Fermi level: 4.229 states/eV/f.u. For the formation energy, the calculation gives 160 meV/atom.

a = 7.2930 Å, b = 7.2930 Å, c = 2.9749 Å
α = 90.00°, β = 90.00°, γ = 90.00°
Fractional coordinates of all 10 atoms:
Tc 0.1485 0.6485 0.5000
Tc 0.8515 0.3515 0.5000
Tc 0.6485 0.8515 0.5000
Tc 0.3515 0.1485 0.5000
As 0.6456 0.1456 0.0000
As 0.8544 0.6456 0.0000
As 0.1456 0.3544 0.0000
As 0.3544 0.8544 0.0000
Au 0.5000 0.5000 0.0000
Au 0.0000 0.0000 0.0000

=====

The following is a PBE calculation of a relaxed structure of LiSc2Rh, from Alexandria.

Results
As for the uncorrected energy: -5.85 eV/atom. As for the density of states at the Fermi level: 3.480 states/eV/f.u. For the formation energy, the calculation gives -369 meV/atom.

a = 5.7638 Å, b = 5.7638 Å, c = 5.7638 Å
α = 147.37°, β = 132.91°, γ = 58.46°
Fractional coordinates of all 4 atoms:
Sc 0.7523 0.2523 0.5000
Sc 0.0387 0.0387 0.0000
Li 0.4610 0.4610 0.0000
Rh 0.2480 0.7480 0.5000

=====

The following is a PBE calculation of a relaxed structure of Al4GaPd7, from Alexandria.

Results
As for the uncorrected energy: -5.13 eV/atom. As for the density of states at the Fermi level: 3.295 states/eV/f.u. For the formation energy, the calculation gives -603 meV/atom.

a = 4.5586 Å, b = 7.5666 Å, c = 6.3795 Å
α = 81.05°, β = 69.07°, γ = 72.47°
Fractional coordinates of all 12 atoms:
Pd 0.9270 0.3204 0.8257
Pd 0.5000 0.0000 0.0000
Pd 0.2150 0.1379 0.4322
Pd 0.3558 0.5696 0.7188
Pd 0.6442 0.4304 0.2812
Pd 0.7850 0.8621 0.5678
Pd 0.0730 0.6796 0.1743
Al 0.7146 0.6540 0.9168
Al 0.2854 0.3460 0.0832
Al 0.4187 0.7884 0.3742
Al 0.5813 0.2116 0.6258
Ga 0.0000 0.0000 0.0000

=====

The following is a PBE calculation of a relaxed structure of IrW4, from Alexandria.

Results
The value obtained for the offset from the most stable computed form is 1378.9 meV per atom. As for the uncorrected energy: -10.63 eV/atom. As for the density of states at the Fermi level: 7.071 states/eV/f.u. For the formation energy, the calculation gives 1505 meV/atom.

a = 5.0432 Å, b = 5.0432 Å, c = 5.0432 Å
α = 109.47°, β = 109.47°, γ = 109.47°
Fractional coordinates of all 5 atoms:
Ir 0.0000 0.0000 0.0000
W 0.5000 0.5000 0.5000
W 0.5000 0.0000 0.0000
W 0.0000 0.5000 0.0000
W 0.0000 0.0000 0.5000

=====

The following is a PBE calculation of a relaxed structure of La2PuAgS5, from Alexandria.

Results
As for the uncorrected energy: -6.95 eV/atom. As for the density of states at the Fermi level: 11.726 states/eV/f.u. The uncorrected formation energy is -1651 meV per atom.

a = 4.0555 Å, b = 8.6143 Å, c = 12.2661 Å
α = 90.00°, β = 90.00°, γ = 103.61°
Fractional coordinates of all 18 atoms:
La 0.8749 0.7499 0.8043
La 0.1139 0.2277 0.6850
La 0.8861 0.7723 0.1850
La 0.1251 0.2501 0.3043
S 0.2920 0.5841 0.6580
S 0.3575 0.7150 0.9996
S 0.6425 0.2850 0.4996
S 0.6953 0.3905 0.8457
S 0.7080 0.4159 0.1580
S 0.4998 0.9996 0.2742
S 0.5002 0.0004 0.7742
S 0.0453 0.0907 0.0819
S 0.3047 0.6095 0.3457
S 0.9547 0.9093 0.5819
Ag 0.5221 0.0442 0.9718
Ag 0.4779 0.9558 0.4718
Pu 0.8067 0.6134 0.5035
Pu 0.1933 0.3866 0.0035

=====

- The lowest uncorrected energy belongs to which entry?
  IrW4